The following is a PBE-GGA calculation of a relaxed structure of DyWC2, from Alexandria via LeMat-Bulk.

Cell lengths 3.4146, 5.2461, 13.2398 Å; angles 90.00, 90.00, 90.00 degrees
Atoms (fractional coordinates):
Dy 0.7500 0.2391 0.5694
Dy 0.2500 0.7609 0.4306
Dy 0.7500 0.7391 0.9306
Dy 0.2500 0.2609 0.0694
W 0.7500 0.7860 0.1714
W 0.7500 0.2860 0.3286
W 0.2500 0.2140 0.8286
W 0.2500 0.7140 0.6714
C 0.7500 0.7512 0.5817
C 0.2500 0.2488 0.4183
C 0.7500 0.2512 0.9183
C 0.2500 0.7488 0.0817
C 0.2500 0.3471 0.6884
C 0.7500 0.1529 0.1884
C 0.2500 0.8471 0.8116
C 0.7500 0.6529 0.3116

Values from the calculation:
Symmetry: Pnma (62)
E_form (kJ/mol of formula units): -25
Energy above the lowest structure with this stoichiometry (meV per atom): 223

***

The following is a PBE-GGA calculation of a relaxed structure of BaLa2Fe, from Alexandria via LeMat-Bulk.

Cell lengths 6.4614, 6.4614, 6.9939 Å; angles 62.58, 62.58, 34.32 degrees
Atoms (fractional coordinates):
Ba 0.4393 0.4393 0.5065
Fe 0.7039 0.7039 0.9748
La 0.0910 0.0910 0.8735
La 0.2658 0.2658 0.1452

Values from the calculation:
Symmetry: Cm (8)
E_form (kJ/mol of formula units): 99
Energy above the lowest structure with this stoichiometry (meV per atom): 95

***

The following is a PBE-GGA calculation of a relaxed structure of Tb4Nd6Tm, from Alexandria via LeMat-Bulk.

Cell lengths 6.7693, 6.7693, 9.6285 Å; angles 110.58, 110.58, 90.00 degrees
Atoms (fractional coordinates):
Tb 0.0581 0.7050 0.7631
Tb 0.9419 0.9419 0.2369
Tb 0.7050 0.0581 0.7631
Tb 0.2950 0.2950 0.2369
Nd 0.8679 0.4867 0.3545
Nd 0.4867 0.8679 0.3545
Nd 0.5133 0.5133 0.6455
Nd 0.0000 0.5000 0.0000
Nd 0.1321 0.1321 0.6455
Nd 0.5000 0.0000 0.0000
Tm 0.5000 0.5000 0.0000

Values from the calculation:
Symmetry: I-42m (121)
E_form (kJ/mol of formula units): 312
Energy above the lowest structure with this stoichiometry (meV per atom): 10

***

The following is a PBE-GGA calculation of a relaxed structure of BaAg2P, from Alexandria via LeMat-Bulk.

Cell lengths 4.6215, 4.6215, 6.1410 Å; angles 68.04, 68.04, 59.81 degrees
Atoms (fractional coordinates):
Ag 0.9894 0.9894 0.0321
Ag 0.7090 0.7090 0.8751
Ba 0.5059 0.5059 0.4831
P 0.2957 0.2957 0.1097

Values from the calculation:
Symmetry: Cm (8)
E_form (kJ/mol of formula units): -99

***

The following is a PBE-GGA calculation of a relaxed structure of TlFe3S, from Alexandria via LeMat-Bulk.

Cell lengths 4.2772, 4.2772, 4.2772 Å; angles 90.00, 90.00, 90.00 degrees
Each line ends with the local moment (μB).
Atoms (fractional coordinates):
S 0.0000 0.0000 0.0000  0.02
Tl 0.5000 0.5000 0.5000  0.00
Fe 0.0000 0.5000 0.0000  2.24
Fe 0.0000 0.0000 0.5000  2.12
Fe 0.5000 0.0000 0.0000  2.52

Values from the calculation:
Symmetry: Pm-3m (221)
Energy above the lowest structure with this stoichiometry (meV per atom): 0

***

The following is a PBE-GGA calculation of a relaxed structure of MnIrIN2, from Alexandria via LeMat-Bulk.

Cell lengths 3.7975, 3.7975, 7.7577 Å; angles 90.00, 90.00, 90.00 degrees
Each line ends with the local moment (μB).
Atoms (fractional coordinates):
I 0.0000 0.0000 0.5000  0.08
Ir 0.0000 0.0000 0.0000  -0.01
Mn 0.5000 0.5000 0.5000  4.01
N 0.0000 0.5000 0.0000  0.18
N 0.5000 0.0000 0.0000  0.18

Values from the calculation:
Symmetry: P4/mmm (123)
Energy above the lowest structure with this stoichiometry (meV per atom): 0

***

The following is a PBE-GGA calculation of a relaxed structure of AgGeP2O, from Alexandria via LeMat-Bulk.

Cell lengths 4.8898, 4.8898, 3.9421 Å; angles 90.00, 90.00, 90.00 degrees
Each line ends with the local moment (μB).
Atoms (fractional coordinates):
P 0.0000 0.5000 0.0000  0.04
P 0.5000 0.0000 0.0000  0.04
Ge 0.5000 0.5000 0.5000  0.01
O 0.0000 0.0000 0.5000  0.11
Ag 0.0000 0.0000 0.0000  0.01

Values from the calculation:
Symmetry: P4/mmm (123)
Energy above the lowest structure with this stoichiometry (meV per atom): 548

***

The following is a PBE-GGA calculation of a relaxed structure of In4Cu, from Alexandria via LeMat-Bulk.

Cell lengths 5.5138, 5.5138, 5.5138 Å; angles 100.81, 100.81, 128.67 degrees
Atoms (fractional coordinates):
In 0.8004 0.6189 0.4193
In 0.3811 0.8004 0.1815
In 0.1996 0.3811 0.5807
In 0.6189 0.1996 0.8185
Cu 0.0000 0.0000 0.0000

Values from the calculation:
Symmetry: I4/m (87)
E_form (kJ/mol of formula units): 72
Energy above the lowest structure with this stoichiometry (meV per atom): 117

***

The following is a PBE-GGA calculation of a relaxed structure of CaThGaCu, from Alexandria via LeMat-Bulk.

Cell lengths 5.1290, 5.1290, 5.1290 Å; angles 60.00, 60.00, 60.00 degrees
Atoms (fractional coordinates):
Ca 0.5000 0.5000 0.5000
Cu 0.2500 0.2500 0.2500
Ga 0.7500 0.7500 0.7500
Th 0.0000 0.0000 0.0000

Values from the calculation:
Symmetry: F-43m (216)
E_form (kJ/mol of formula units): -91

***

The following is a PBE-GGA calculation of a relaxed structure of Sc2ZnNi5B2, from Alexandria via LeMat-Bulk.

Cell lengths 3.0534, 8.7789, 8.7789 Å; angles 90.00, 90.00, 90.00 degrees
Atoms (fractional coordinates):
Sc 0.0000 0.6780 0.1780
Sc 0.0000 0.3220 0.8220
Sc 0.0000 0.1780 0.3220
Sc 0.0000 0.8220 0.6780
Zn 0.0000 0.0000 0.0000
Zn 0.0000 0.5000 0.5000
Ni 0.5000 0.2259 0.0685
Ni 0.5000 0.7741 0.9315
Ni 0.5000 0.0685 0.7741
Ni 0.5000 0.7259 0.4315
Ni 0.5000 0.9315 0.2259
Ni 0.5000 0.2741 0.5685
Ni 0.5000 0.5685 0.7259
Ni 0.5000 0.4315 0.2741
Ni 0.5000 0.5000 0.0000
Ni 0.5000 0.0000 0.5000
B 0.0000 0.1183 0.6183
B 0.0000 0.8817 0.3817
B 0.0000 0.6183 0.8817
B 0.0000 0.3817 0.1183

Values from the calculation:
Symmetry: P4/mbm (127)
E_form (kJ/mol of formula units): -461

***

The following is a PBE-GGA calculation of a relaxed structure of AgAu2, from Alexandria via LeMat-Bulk.

Cell lengths 6.4604, 6.4604, 6.4604 Å; angles 90.00, 90.00, 90.00 degrees
Atoms (fractional coordinates):
Au 0.1214 0.6214 0.8786
Au 0.1214 0.8786 0.3786
Au 0.3786 0.1214 0.8786
Au 0.3786 0.3786 0.3786
Au 0.6214 0.6214 0.6214
Au 0.6214 0.8786 0.1214
Au 0.8786 0.1214 0.6214
Au 0.8786 0.3786 0.1214
Ag 0.0000 0.0000 0.0000
Ag 0.0000 0.5000 0.5000
Ag 0.5000 0.0000 0.5000
Ag 0.5000 0.5000 0.0000

Values from the calculation:
Symmetry: Pa-3 (205)
E_form (kJ/mol of formula units): 139
Energy above the lowest structure with this stoichiometry (meV per atom): 521

***

The following is a PBE-GGA calculation of a relaxed structure of Mn2Fe4Ge2C, from Alexandria via LeMat-Bulk.

Cell lengths 5.1734, 5.1734, 5.1734 Å; angles 92.47, 118.58, 118.58 degrees
Each line ends with the local moment (μB).
Atoms (fractional coordinates):
Mn 0.0000 0.7306 0.7306  2.11
Mn 0.0000 0.2694 0.2694  2.11
Fe 0.0000 0.7467 0.2533  0.75
Fe 0.4935 0.7467 0.7467  0.75
Fe 0.0000 0.2533 0.7467  0.75
Fe 0.5065 0.2533 0.2533  0.75
Ge 0.5000 0.7500 0.2500  -0.09
Ge 0.5000 0.2500 0.7500  -0.09
C 0.0000 0.0000 0.0000  -0.12

Values from the calculation:
Symmetry: I4/mmm (139)
E_form (kJ/mol of formula units): -38